Compound: K2BTeC
Source: Alexandria via LeMat-Bulk
Functional: GGA-PBE
Structure: optimized geometry

Fermi-level density of states = 0.915 states/eV per cell
Uncorrected formation energy = -4.108 kcal/mol of atoms

Cell lengths 6.3366, 6.3366, 2.9562 Å; angles 90.00, 90.00, 90.00 degrees
Element x y z (fractional)
K 0.0000 0.5000 0.0000
K 0.5000 0.0000 0.0000
B 0.0000 0.0000 0.0000
Te 0.5000 0.5000 0.5000
C 0.0000 0.0000 0.5000

Compound: Co2CuAu
Source: Alexandria via LeMat-Bulk
Functional: GGA-PBE
Structure: optimized geometry

Fermi-level density of states = 4.806 states/eV per cell
Energy of formation = 188 meV per atom

Cell lengths 4.5464, 4.5464, 4.5464 Å; angles 131.08, 131.08, 71.69 degrees
Element x y z (fractional)
Co 0.0000 0.0000 0.0000
Co 0.7500 0.2500 0.5000
Cu 0.2500 0.7500 0.5000
Au 0.5000 0.5000 0.0000